Density functional theory data (PBE+U) for crystalline Tb2AlNiO6 at its relaxed geometry.

## Properties
The value obtained for the total magnetic moment is 6.03 μB/cell. As for the crystal system: monoclinic. Its total energy is -7.22 eV per atom.

abc: 5.2551 5.5520 9.1188
angles: 90.00 124.94 90.00
Space group P2_1/c (No. 14)
Inequivalent atoms, fractional coordinates:
Tb  0.2322  0.0663  0.2491 [4 per cell]
Al  0.5000  0.0000  0.0000 [2 per cell]
Ni  0.0000  0.0000  0.5000 [2 per cell]
O  0.1588  0.1899  0.9505 [4 per cell]
O  0.2557  0.7038  0.9498 [4 per cell]
O  0.3503  0.0282  0.7539 [4 per cell]